1.
Computed, not measured: a geometry-optimized La2TmAg structure at the GGA-PBE level of DFT.

Cell lengths 12.7853, 12.7853, 5.2772 Å; angles 90.00, 90.00, 163.63 degrees
Fractional coordinates of all 8 atoms:
La  0.0671  0.9329  0.7500
La  0.1524  0.8476  0.2500
La  0.8476  0.1524  0.7500
La  0.9329  0.0671  0.2500
Tm  0.2871  0.7129  0.2500
Tm  0.7129  0.2871  0.7500
Ag  0.4612  0.5388  0.7500
Ag  0.5388  0.4612  0.2500

Output
Formation energy (eV per formula unit): -0.279
DFT total energy (eV for the cell shown): -34.914
D(E_F) (states/eV per atom): 1.353
Total magnetic moment (μB/f.u.): 0.00

---

2.
Computed, not measured: a geometry-optimized La2TmAg structure at the GGA-PBE level of DFT.

Cell lengths 5.5519, 5.5519, 5.5519 Å; angles 60.00, 60.00, 60.00 degrees
Fractional coordinates of all 4 atoms:
La  0.2500  0.2500  0.2500
La  0.7500  0.7500  0.7500
Tm  0.0000  0.0000  0.0000
Ag  0.5000  0.5000  0.5000

Output
Formation energy (eV per formula unit): 0.119
DFT total energy (eV for the cell shown): -17.058
D(E_F) (states/eV per atom): 0.747
Total magnetic moment (μB/f.u.): 0.00

---

3.
Computed, not measured: a geometry-optimized La2VAg structure at the GGA-PBE level of DFT.

Cell lengths 6.6488, 6.6488, 6.6488 Å; angles 103.02, 103.02, 123.32 degrees
Fractional coordinates of all 8 atoms:
La  0.1110  0.6250  0.9860
La  0.3750  0.3610  0.4860
La  0.6390  0.1250  0.0140
La  0.8750  0.8890  0.5140
V  0.0000  0.0000  0.0000
V  0.7500  0.2500  0.5000
Ag  0.2500  0.7500  0.5000
Ag  0.5000  0.5000  0.0000

Output
Formation energy (eV per formula unit): 1.684
DFT total energy (eV for the cell shown): -40.282
D(E_F) (states/eV per atom): 0.740
Total magnetic moment (μB/f.u.): 2.75

---

4.
Computed, not measured: a geometry-optimized LaV3Ag structure at the GGA-PBE level of DFT.

Cell lengths 4.5542, 4.5542, 4.5542 Å; angles 90.00, 90.00, 90.00 degrees
Fractional coordinates of all 5 atoms:
La  0.0000  0.0000  0.0000
V  0.0000  0.0000  0.5000
V  0.0000  0.5000  0.0000
V  0.5000  0.0000  0.0000
Ag  0.5000  0.5000  0.5000

Output
Formation energy (eV per formula unit): 7.944
DFT total energy (eV for the cell shown): -27.191
D(E_F) (states/eV per atom): 0.672
Total magnetic moment (μB/f.u.): 0.00

---

Which of these has the highest formation energy? LaV3Ag